[1]
The following is a DFT calculation (GGA-PBE) of a relaxed structure of CuSe6F2.

Summary:
Energy relative to the elements, uncorrected in meV per atom: -444

```
CuSe6F2
1.0
4.4401 0.0000 0.0000
1.0119 7.4938 0.0000
0.0835 3.3956 7.3644
Cu Se F
1 6 2
Direct
0.0000 0.0000 0.0000 Cu
0.0435 0.7933 0.4754 Se
0.1025 0.4457 0.2482 Se
0.2138 0.2728 0.7471 Se
0.7862 0.7272 0.2529 Se
0.8975 0.5543 0.7518 Se
0.9565 0.2067 0.5246 Se
0.2308 0.0484 0.1631 F
0.7692 0.9516 0.8369 F
```

---

[2]
The following is a DFT calculation (GGA-PBE) of a relaxed structure of TlBi2PtAu.

Summary:
Energy of formation in eV/atom: 0.04

```
TlBi2PtAu
1.0
5.2568 0.0000 0.0000
0.0000 5.2568 0.0000
0.0000 0.0000 6.1299
Tl Bi Pt Au
1 2 1 1
Direct
0.0000 0.0000 0.0000 Tl
0.0000 0.5000 0.4049 Bi
0.5000 0.0000 0.4049 Bi
0.0000 0.0000 0.5503 Pt
0.5000 0.5000 0.2058 Au
```

---

[3]
The following is a DFT calculation (GGA-PBE) of a relaxed structure of CrTc3.

Summary:
Energy of formation in eV/atom: 0.14

```
CrTc3
1.0
2.6767 0.0000 0.0000
0.0000 4.1576 0.0000
-1.2379 0.0000 5.0386
Cr Tc
1 3
Direct
0.0000 0.0000 0.0000 Cr
0.1717 0.5000 0.7589 Tc
0.5000 0.0000 0.5000 Tc
0.8283 0.5000 0.2411 Tc
```

---

[4]
The following is a DFT calculation (GGA-PBE) of a relaxed structure of ZnInW2.

Summary:
Energy of formation in eV/atom: 0.59
ΔE to the lowest computed polymorph in eV/f.u.: 0.98

```
ZnInW2
1.0
2.7450 -4.4582 0.0000
2.7450 4.4582 0.0000
0.0000 0.0000 2.7726
Zn In W
1 1 2
Direct
0.0000 0.0000 0.0000 Zn
0.5000 0.5000 0.0000 In
0.0000 0.5000 0.5000 W
0.5000 0.0000 0.5000 W
```

---

[5]
The following is a DFT calculation (GGA-PBE) of a relaxed structure of Th2AgP.

Summary:
Energy of formation in eV/atom: -0.66

```
Th2AgP
1.0
2.0095 1.1602 7.7375
-2.0095 1.1602 7.7375
0.0000 -2.3203 7.7375
Th Ag P
2 1 1
Direct
0.0000 0.0000 0.0000 Th
0.1890 0.1890 0.1890 Th
0.4285 0.4285 0.4285 Ag
0.5956 0.5956 0.5956 P
```

---

[6]
The following is a DFT calculation (GGA-PBE) of a relaxed structure of Cd4TcPb.

Summary:
Energy of formation in eV/atom: 0.50

```
Cd4TcPb
1.0
0.0000 4.0551 4.0551
4.0551 0.0000 4.0551
4.0551 4.0551 0.0000
Cd Tc Pb
4 1 1
Direct
0.3758 0.3758 0.3758 Cd
0.3758 0.3758 0.8726 Cd
0.3758 0.8726 0.3758 Cd
0.8726 0.3758 0.3758 Cd
0.7500 0.7500 0.7500 Tc
0.0000 0.0000 0.0000 Pb
```

---

So what do the calculations give for E_tot? Going down the list: -3.64 -3.85 -10.04 -6.89 -6.44 -2.45 eV per atom.